The following is a GGA-PBE calculation of a relaxed structure of Rb2ZrBr4Cl2, from Alexandria via LeMat-Bulk.

abc: 7.4827 7.4827 6.6042
angles: 98.44 98.44 61.47
Last column: nearest neighbours and their distance in Å.
Element x y z (fractional)
Rb: 0.1722 0.1722 0.2596  3 Cl 3.45-3.83, 6 Br 3.61-3.82
Rb: 0.8278 0.8278 0.7404  3 Cl 3.45-3.83, 6 Br 3.61-3.82
Zr: 0.5000 0.5000 0.0000  2 Cl 2.48, 4 Br 2.66
Br: 0.1657 0.6595 0.1997  1 Zr 2.66
Br: 0.3405 0.8343 0.8003  1 Zr 2.66
Br: 0.6595 0.1657 0.1997  1 Zr 2.66
Br: 0.8343 0.3405 0.8003  1 Zr 2.66
Cl: 0.3417 0.3417 0.7256  1 Zr 2.48
Cl: 0.6583 0.6583 0.2744  1 Zr 2.48

## Properties
- formation energy from raw total energies (eV/atom) = -1.71
- SG = No. 12